This record from Alexandria via LeMat-Bulk describes Ba2Sr5Li after structural relaxation. The functional is PBE-GGA.

Computed properties:
For the density of states at the Fermi level, the calculation gives 19.60 states/eV per cell. The total DFT energy (no corrections) comes out at -1.75 eV per atom. The calculated volume comes out at 53.21 A^3/atom. For the energy relative to the elements, the calculation gives 0.025 eV per atom.

Cell lengths 10.2821, 18.6936, 4.4293 Å; angles 90.00, 90.00, 90.00 degrees
Space group Pbam (No. 55)
Symmetry-distinct sites (fractional):
Ba1 0.2120 0.1164 0.0000 [4 per cell]
Sr1 0.0000 0.5000 0.5000 [2 per cell]
Sr2 0.0007 0.2701 0.5000 [4 per cell]
Sr3 0.2112 0.8827 0.0000 [4 per cell]
Li1 0.0000 0.0000 0.5000 [2 per cell]



This record from Alexandria via LeMat-Bulk describes Ba4Sr3Li2 after structural relaxation. The functional is PBE-GGA.

Computed properties:
For the density of states at the Fermi level, the calculation gives 47.42 states/eV per cell. The total DFT energy (no corrections) comes out at -1.78 eV per atom. The calculated volume comes out at 51.57 A^3/atom. For the energy relative to the elements, the calculation gives 0.062 eV per atom.

Cell lengths 19.6548, 13.4503, 7.0443 Å; angles 90.00, 94.53, 90.00 degrees
Space group C2/c (No. 15)
Symmetry-distinct sites (fractional):
Ba1 0.0609 0.1323 0.0180 [8 per cell]
Ba2 0.1997 0.3939 0.9280 [8 per cell]
Sr1 0.0000 0.4075 0.7500 [4 per cell]
Sr2 0.1732 0.1438 0.5417 [8 per cell]
Li1 0.0876 0.3591 0.3335 [8 per cell]



This record from Alexandria via LeMat-Bulk describes BaSrLi after structural relaxation. The functional is PBE-GGA.

Computed properties:
For the density of states at the Fermi level, the calculation gives 7.25 states/eV per cell. The total DFT energy (no corrections) comes out at -1.81 eV per atom. The calculated volume comes out at 46.67 A^3/atom. For the energy relative to the elements, the calculation gives 0.029 eV per atom.

Cell lengths 4.3434, 4.3434, 14.8419 Å; angles 90.00, 90.00, 90.00 degrees
Space group I4mm (No. 107)
Symmetry-distinct sites (fractional):
Ba1 0.0000 0.0000 0.0000 [2 per cell]
Sr1 0.0000 0.0000 0.2845 [2 per cell]
Li1 0.0000 0.0000 0.6516 [2 per cell]



Among the records above, which one has the lowest energy relative to the elements?
Ba2Sr5Li



energy relative to the elements of number 3 (BaSrLi)?
0.029 eV per atom



Among the records above, which one has the lowest energy relative to the elements?
Ba2Sr5Li